8
Lattice="3.587 0.000 0.000 0.000 5.080 0.000 0.000 0.000 14.646" Properties=species:S:1:pos:R:3 comment="meta-GGA SCAN PtSeBr2, single point on PBEsol structure" space_group=Imm2 m_tot_mub_per_atom=0.000 formation_energy_uncorrected_ev_per_atom=-0.24 pbc="T T T"
Pt 0.000 0.000 0.000
Pt 1.794 2.540 7.323
Se 0.000 2.540 8.875
Se 1.794 0.000 1.551
Br 0.000 0.000 9.615
Br 0.000 2.540 5.623
Br 1.794 0.000 12.946
Br 1.794 2.540 2.292

5
Lattice="4.937 0.000 0.000 0.000 4.937 0.000 0.000 0.000 5.015" Properties=species:S:1:pos:R:3 comment="meta-GGA SCAN SnPtSe2Br, single point on PBEsol structure" space_group=P4/mmm m_tot_mub_per_atom=0.000 formation_energy_uncorrected_ev_per_atom=0.09 dos_at_fermi_per_ev_cell=3.82 pbc="T T T"
Sn 0.000 0.000 0.000
Pt 2.468 2.468 2.507
Se 0.000 2.468 2.507
Se 2.468 0.000 2.507
Br 2.468 2.468 0.000

4
Lattice="4.769 0.000 0.000 0.000 4.769 0.000 0.000 0.000 2.906" Properties=species:S:1:pos:R:3 comment="meta-GGA SCAN Si2PtBr, single point on PBEsol structure" space_group=P4/mmm relative_energy_ev_per_atom=0.487 m_tot_mub_per_atom=0.000 formation_energy_uncorrected_ev_per_atom=0.58 dos_at_fermi_per_ev_cell=2.05 pbc="T T T"
Si 0.000 2.385 0.000
Si 2.385 0.000 0.000
Pt 0.000 0.000 1.453
Br 2.385 2.385 1.453

12
Lattice="3.939 0.000 0.000 -1.969 3.411 0.000 0.000 0.000 17.556" Properties=species:S:1:pos:R:3 comment="meta-GGA SCAN SiPt2Br, single point on PBEsol structure" space_group=R3m m_tot_mub_per_atom=0.000 formation_energy_uncorrected_ev_per_atom=-0.16 dos_at_fermi_per_ev_cell=7.30 pbc="T T T"
Si 0.000 0.000 0.000
Si 0.000 2.274 11.704
Si 1.969 1.137 5.852
Pt 0.000 0.000 7.624
Pt 0.000 0.000 12.082
Pt 0.000 2.274 1.772
Pt 0.000 2.274 6.230
Pt 1.969 1.137 0.378
Pt 1.969 1.137 13.476
Br 0.000 0.000 3.217
Br 0.000 2.274 14.921
Br 1.969 1.137 9.069

4
Lattice="3.707 0.000 0.000 0.000 3.707 0.000 0.000 0.000 5.013" Properties=species:S:1:pos:R:3 comment="meta-GGA SCAN Si2PtBr, single point on PBEsol structure" space_group=P4/mmm relative_energy_ev_per_atom=0.723 m_tot_mub_per_atom=0.000 formation_energy_uncorrected_ev_per_atom=0.82 dos_at_fermi_per_ev_cell=1.61 pbc="T T T"
Si 0.000 1.853 0.000
Si 1.853 0.000 0.000
Pt 0.000 0.000 2.506
Br 1.853 1.853 2.506

8
Lattice="4.981 0.000 0.000 0.000 7.128 0.000 0.000 0.000 4.216" Properties=species:S:1:pos:R:3 comment="meta-GGA SCAN Si2PtBr, single point on PBEsol structure" space_group=Cmmm relative_energy_ev_per_atom=0.000 m_tot_mub_per_atom=0.000 formation_energy_uncorrected_ev_per_atom=0.10 dos_at_fermi_per_ev_cell=2.86 pbc="T T T"
Si 0.000 1.300 0.000
Si 0.000 5.828 0.000
Si 2.491 2.264 0.000
Si 2.491 4.864 0.000
Pt 0.000 0.000 2.108
Pt 2.491 3.564 2.108
Br 0.000 3.564 2.108
Br 2.491 0.000 2.108